! In2Re PBE-GGA relaxed; values from VASP
! Magnetization: 1.28 μB/f.u.
! Calculated total energy: -4.5063 eV per atom
! Space group: Fd-3m
&SYSTEM
  ibrav = 0, nat = 6, ntyp = 2
/
ATOMIC_SPECIES
In 114.82 In.upf
Re 186.21 Re.upf
ATOMIC_POSITIONS crystal
In 0.0000 0.0000 0.0000
In 0.0000 0.0000 0.5000
In 0.0000 0.5000 0.0000
In 0.5000 0.0000 0.0000
Re 0.3750 0.3750 0.3750
Re 0.6250 0.6250 0.6250
CELL_PARAMETERS angstrom
0.0000 3.8996 3.8996
3.8996 0.0000 3.8996
3.8996 3.8996 0.0000



! AuBr5 PBE-GGA relaxed; values from VASP
! Calculated total energy: -1.9831 eV per atom
! Space group: P-1
&SYSTEM
  ibrav = 0, nat = 12, ntyp = 2
/
ATOMIC_SPECIES
Au 196.97 Au.upf
Br 79.90 Br.upf
ATOMIC_POSITIONS crystal
Au 0.0106 0.1848 0.2835
Au 0.9894 0.8152 0.7165
Br 0.0834 0.3623 0.8656
Br 0.1928 0.8012 0.9449
Br 0.2121 0.1718 0.5010
Br 0.3419 0.5622 0.6783
Br 0.3822 0.9575 0.2299
Br 0.6178 0.0425 0.7701
Br 0.6581 0.4378 0.3217
Br 0.7879 0.8282 0.4990
Br 0.8072 0.1988 0.0551
Br 0.9166 0.6377 0.1344
CELL_PARAMETERS angstrom
5.5135 0.0000 0.0000
2.5394 8.0584 0.0000
1.3169 2.7517 9.0803



! NaGdZnTe3 PBE-GGA relaxed; values from VASP
! Magnetization: 0.00 μB/f.u.
! Excess energy over the best structure of this formula in the dataset: 45 meV per atom
! Calculated total energy: -3.7271 eV per atom
! Space group: Pnma
&SYSTEM
  ibrav = 0, nat = 24, ntyp = 4
/
ATOMIC_SPECIES
Na 22.99 Na.upf
Gd 157.25 Gd.upf
Zn 65.41 Zn.upf
Te 127.60 Te.upf
ATOMIC_POSITIONS crystal
Na 0.1856 0.2500 0.0116
Na 0.3144 0.7500 0.5116
Na 0.6856 0.2500 0.4884
Na 0.8144 0.7500 0.9884
Gd 0.0296 0.2500 0.3133
Gd 0.4704 0.7500 0.8133
Gd 0.5296 0.2500 0.1867
Gd 0.9704 0.7500 0.6867
Zn 0.2482 0.7500 0.2077
Zn 0.2518 0.2500 0.7077
Zn 0.7482 0.7500 0.2923
Zn 0.7518 0.2500 0.7923
Te 0.0472 0.7500 0.1436
Te 0.0986 0.2500 0.5673
Te 0.2159 0.7500 0.8229
Te 0.2841 0.2500 0.3229
Te 0.4014 0.7500 0.0673
Te 0.4528 0.2500 0.6436
Te 0.5472 0.7500 0.3564
Te 0.5986 0.2500 0.9327
Te 0.7159 0.7500 0.6771
Te 0.7841 0.2500 0.1771
Te 0.9014 0.7500 0.4327
Te 0.9528 0.2500 0.8564
CELL_PARAMETERS angstrom
12.4264 0.0000 0.0000
0.0000 4.3961 0.0000
0.0000 0.0000 13.1341



! SiHgAsO PBE-GGA relaxed; values from VASP
! Excess energy over the best structure of this formula in the dataset: 26 meV per atom
! Calculated total energy: -4.6959 eV per atom
! Space group: Pmc2_1
&SYSTEM
  ibrav = 0, nat = 8, ntyp = 4
/
ATOMIC_SPECIES
Si 28.09 Si.upf
Hg 200.59 Hg.upf
As 74.92 As.upf
O 16.00 O.upf
ATOMIC_POSITIONS crystal
Si 0.0000 0.0998 0.0000
Si 0.0000 0.9002 0.5000
Hg 0.5000 0.4842 0.6548
Hg 0.5000 0.5158 0.1548
As 0.0000 0.1496 0.3813
As 0.0000 0.8504 0.8813
O 0.5000 0.1804 0.9080
O 0.5000 0.8196 0.4080
CELL_PARAMETERS angstrom
2.8278 0.0000 0.0000
0.0000 9.0779 0.0000
0.0000 0.0000 6.1617



! Gd2TmN3 PBE-GGA relaxed; values from VASP
! Magnetization: 0.00 μB/f.u.
! Calculated total energy: -8.1359 eV per atom
! Space group: P-3m1
&SYSTEM
  ibrav = 0, nat = 6, ntyp = 3
/
ATOMIC_SPECIES
Gd 157.25 Gd.upf
Tm 168.93 Tm.upf
N 14.01 N.upf
ATOMIC_POSITIONS crystal
Gd 0.3333 0.6667 0.3304
Gd 0.6667 0.3333 0.6696
Tm 0.0000 0.0000 0.0000
N 0.0000 0.0000 0.5000
N 0.3333 0.6667 0.8397
N 0.6667 0.3333 0.1603
CELL_PARAMETERS angstrom
3.4697 0.0000 0.0000
-1.7349 3.0049 0.0000
0.0000 0.0000 8.4925



! KPmLu PBE-GGA relaxed; values from VASP
! Magnetization: 0.76 μB/f.u.
! Excess energy over the best structure of this formula in the dataset: 0 meV per atom
! Calculated total energy: -2.3196 eV per atom
! Space group: F-43m
&SYSTEM
  ibrav = 0, nat = 3, ntyp = 3
/
ATOMIC_SPECIES
K 39.10 K.upf
Pm 145.00 Pm.upf
Lu 174.97 Lu.upf
ATOMIC_POSITIONS crystal
K 0.0000 0.0000 0.0000
Pm 0.5000 0.5000 0.5000
Lu 0.2500 0.2500 0.2500
CELL_PARAMETERS angstrom
0.0000 4.1554 4.1554
4.1554 0.0000 4.1554
4.1554 4.1554 0.0000